Record 1
Below is a relaxed Sc2TiPt2 crystal, with properties calculated at the GGA-PBE level.

Space-group type = P4/mbm, No. 127
ΔE to the lowest computed polymorph = 0 meV/atom
Formation enthalpy at 0 K = -0.931 eV per atom

Unit cell a=6.7090 b=6.7090 c=4.2398 alpha=90.00 beta=90.00 gamma=90.00
With the nearest neighbours (Å) after each atom.
Fractional coordinates of all 10 atoms:
Sc1 0.1697 0.3303 0.0000  6 Pt 2.77-2.99
Sc2 0.3303 0.8303 0.0000  6 Pt 2.77-2.99
Sc3 0.6697 0.1697 0.0000  6 Pt 2.77-2.99
Sc4 0.8303 0.6697 0.0000  6 Pt 2.77-2.99
Ti1 0.0000 0.0000 0.5000  4 Pt 2.58
Ti2 0.5000 0.5000 0.5000  4 Pt 2.58
Pt1 0.1427 0.6427 0.5000  2 Ti 2.58, 1 Pt 2.71, 2 Sc 2.77
Pt2 0.3573 0.1427 0.5000  2 Ti 2.58, 1 Pt 2.71, 2 Sc 2.77
Pt3 0.6427 0.8573 0.5000  2 Ti 2.58, 1 Pt 2.71, 2 Sc 2.77
Pt4 0.8573 0.3573 0.5000  2 Ti 2.58, 1 Pt 2.71, 2 Sc 2.77

---

Record 2
Below is a relaxed Pm2In3Hg2 crystal, with properties calculated at the GGA-PBE level.

Space-group type = C2/m, No. 12
Formation enthalpy at 0 K = -0.378 eV per atom

Unit cell a=6.1636 b=6.1636 c=7.3872 alpha=108.58 beta=108.58 gamma=44.51
With the nearest neighbours (Å) after each atom.
Fractional coordinates of all 7 atoms:
Pm1 0.1420 0.1420 0.2752  4 Hg 3.21-3.50, 6 In 3.37-3.56
Pm2 0.8580 0.8580 0.7248  4 Hg 3.21-3.50, 6 In 3.37-3.56
In1 0.3977 0.3977 0.0707  2 In 2.87-2.98, 3 Hg 3.00
In2 0.5000 0.5000 0.5000  2 In 2.98, 4 Hg 3.09
In3 0.6023 0.6023 0.9293  2 In 2.87-2.98, 3 Hg 3.00
Hg1 0.1643 0.1643 0.7228  5 In 3.00-3.09, 3 Pm 3.21-3.23
Hg2 0.8357 0.8357 0.2772  5 In 3.00-3.09, 3 Pm 3.21-3.23

---

Record 3
Below is a relaxed KAs3C crystal, with properties calculated at the GGA-PBE level.

Space-group type = Pm-3m, No. 221
ΔE to the lowest computed polymorph = 0 meV/atom
Formation enthalpy at 0 K = 0.937 eV per atom

Unit cell a=4.6289 b=4.6289 c=4.6289 alpha=90.00 beta=90.00 gamma=90.00
With the nearest neighbours (Å) after each atom.
Fractional coordinates of all 5 atoms:
K1 0.0000 0.0000 0.0000  12 As 3.27
As1 0.0000 0.5000 0.5000  2 C 2.31
As2 0.5000 0.0000 0.5000  2 C 2.31
As3 0.5000 0.5000 0.0000  2 C 2.31
C1 0.5000 0.5000 0.5000  6 As 2.31

---

no.,M_tot (μB per cell)
1,0.000
2,0.000
3,0.000